1.
# SrCaMgTl | Alexandria via LeMat-Bulk | PBE-GGA | relaxed
# Raw total energy (eV per atom): -2.171
# Crystal system: cubic
# ΔH_f (0 K) (eV per atom): -0.260
data_SrCaMgTl
_space_group_name_H-M_alt 'F -4 3 m'
_space_group_IT_number 216
_space_group_name_Hall 'F -4 2 3'
_cell_length_a 8.013
_cell_length_b 8.013
_cell_length_c 8.013
_cell_angle_alpha 90.00
_cell_angle_beta 90.00
_cell_angle_gamma 90.00
loop_
_atom_site_label
_atom_site_type_symbol
_atom_site_fract_x
_atom_site_fract_y
_atom_site_fract_z
Sr1 Sr 0.000 0.000 0.000
Ca1 Ca 0.000 0.000 0.500
Mg1 Mg 0.250 0.250 0.250
Tl1 Tl 0.250 0.250 0.750

---

2.
# SrCaMg2Tl4 | Alexandria via LeMat-Bulk | PBE-GGA | relaxed
# Raw total energy (eV per atom): -2.318
# Crystal system: trigonal
# ΔH_f (0 K) (eV per atom): -0.276
data_SrCaMg2Tl4
_space_group_name_H-M_alt 'R -3 m'
_space_group_IT_number 166
_space_group_name_Hall '-R 3 2"'
_cell_length_a 5.3963
_cell_length_b 5.3963
_cell_length_c 26.4773
_cell_angle_alpha 90.00
_cell_angle_beta 90.00
_cell_angle_gamma 120.00
loop_
_atom_site_label
_atom_site_type_symbol
_atom_site_fract_x
_atom_site_fract_y
_atom_site_fract_z
Sr1 Sr 0.0000 0.0000 0.0000
Ca1 Ca 0.0000 0.0000 0.5000
Mg1 Mg 0.0000 0.0000 0.2495
Tl1 Tl 0.0000 0.0000 0.1273
Tl2 Tl 0.0000 0.0000 0.3777

---

3.
# Sr2CaMg2Tl5 | Alexandria via LeMat-Bulk | PBE-GGA | relaxed
# Raw total energy (eV per atom): -2.323
# Crystal system: tetragonal
# ΔH_f (0 K) (eV per atom): -0.284
data_Sr2CaMg2Tl5
_space_group_name_H-M_alt 'P 4/m b m'
_space_group_IT_number 127
_space_group_name_Hall '-P 4 2ab'
_cell_length_a 11.704
_cell_length_b 11.704
_cell_length_c 4.386
_cell_angle_alpha 90.00
_cell_angle_beta 90.00
_cell_angle_gamma 90.00
loop_
_atom_site_label
_atom_site_type_symbol
_atom_site_fract_x
_atom_site_fract_y
_atom_site_fract_z
Sr1 Sr 0.175 0.325 0.000
Ca1 Ca 0.000 0.000 0.000
Mg1 Mg 0.122 0.622 0.000
Tl1 Tl 0.000 0.500 0.500
Tl2 Tl 0.069 0.793 0.500